No. 1
A plane-wave DFT calculation with PBE-GGA was carried out for a geometry-optimized LaSbCl2 structure.

As for the formation energy from raw total energies: -4.6 eV per formula unit. For the energy, the calculation gives -4.3291 eV/atom. The density of states at the Fermi level is 0.381 states/eV/atom. The value obtained for the calculated density is 5.4 g/cm³.

```
LaSbCl2
1.0
6.142 0.001 0.000
3.019 5.349 0.000
-4.580 -2.675 3.097
Cl La Sb
2 1 1
Cartesian
1.509 2.675 1.548
0.000 0.000 0.000
4.580 2.675 0.000
3.071 0.000 1.548
```


No. 2
A plane-wave DFT calculation with PBE-GGA was carried out for a geometry-optimized Tm3Mo2C4 structure.

For the energy, the calculation gives -8.2109 eV/atom. As for the energy of formation: -213.9 meV per atom. The density of states at the Fermi level is 0.388 states/eV/atom. The value obtained for the calculated density is 9.8 g/cm³.

```
Tm3Mo2C4
1.0
3.205 0.000 0.000
-1.602 5.418 0.248
0.000 -1.906 7.223
C Mo Tm
4 2 3
Cartesian
0.000 -0.595 5.093
1.602 4.108 2.377
0.000 1.926 6.677
1.602 1.587 0.794
0.000 2.964 1.354
1.602 0.549 6.116
0.000 3.171 4.621
0.000 0.000 0.000
1.602 0.342 2.849
```


No. 3
A plane-wave DFT calculation with PBE-GGA was carried out for a geometry-optimized Mo2Br structure.

As for the formation energy from raw total energies: 2.4 eV per formula unit. For the energy, the calculation gives -6.9857 eV/atom. The density of states at the Fermi level is 0.702 states/eV/atom. The value obtained for the calculated density is 8.9 g/cm³.

```
Mo2Br
1.0
4.430 0.000 0.000
-2.215 3.837 0.000
0.000 0.000 2.988
Mo Br
2 1
Cartesian
0.000 2.558 2.391
2.215 1.279 0.597
0.000 0.000 0.000
```